Density functional theory data (PBE) for a relaxed Li2ZrB2O6 crystal.

CIF file:
```
data_Li2ZrB2O6
_symmetry_space_group_name_H-M 'P 1'
_symmetry_Int_Tables_number 1
_cell_length_a 6.117
_cell_length_b 6.117
_cell_length_c 6.117
_cell_angle_alpha 49.44
_cell_angle_beta 49.44
_cell_angle_gamma 49.44
loop_
_symmetry_equiv_pos_as_xyz
'x,y,z'
loop_
_atom_site_label
_atom_site_type_symbol
_atom_site_fract_x
_atom_site_fract_y
_atom_site_fract_z
Li1 Li 0.179 0.179 0.179
Li2 Li 0.821 0.821 0.821
Zr1 Zr 0.000 0.000 0.000
B1 B 0.417 0.417 0.417
B2 B 0.583 0.583 0.583
O1 O 0.263 0.263 0.728
O2 O 0.263 0.728 0.263
O3 O 0.272 0.737 0.737
O4 O 0.728 0.263 0.263
O5 O 0.737 0.272 0.737
O6 O 0.737 0.737 0.272
```

SG = R-3m (166)
Total DFT energy (no corrections) = -7.542 eV per atom



Density functional theory data (PBE) for a relaxed LiCo2Ge crystal.

CIF file:
```
data_LiCo2Ge
_symmetry_space_group_name_H-M 'P 1'
_symmetry_Int_Tables_number 1
_cell_length_a 3.976
_cell_length_b 3.976
_cell_length_c 7.007
_cell_angle_alpha 90.00
_cell_angle_beta 90.00
_cell_angle_gamma 120.00
loop_
_symmetry_equiv_pos_as_xyz
'x,y,z'
loop_
_atom_site_label
_atom_site_type_symbol
_atom_site_fract_x
_atom_site_fract_y
_atom_site_fract_z
Li1 Li 0.333 0.667 0.250
Li2 Li 0.667 0.333 0.750
Co1 Co 0.333 0.667 0.584
Co2 Co 0.333 0.667 0.916
Co3 Co 0.667 0.333 0.084
Co4 Co 0.667 0.333 0.416
Ge1 Ge 0.000 0.000 0.250
Ge2 Ge 0.000 0.000 0.750
```

SG = P6_3/mmc (194)
Total DFT energy (no corrections) = -5.014 eV per atom



Density functional theory data (PBE) for a relaxed LuHf2Sc crystal.

CIF file:
```
data_LuHf2Sc
_symmetry_space_group_name_H-M 'P 1'
_symmetry_Int_Tables_number 1
_cell_length_a 5.130
_cell_length_b 5.130
_cell_length_c 5.130
_cell_angle_alpha 60.00
_cell_angle_beta 60.00
_cell_angle_gamma 60.00
loop_
_symmetry_equiv_pos_as_xyz
'x,y,z'
loop_
_atom_site_label
_atom_site_type_symbol
_atom_site_fract_x
_atom_site_fract_y
_atom_site_fract_z
Lu1 Lu 0.000 0.000 0.000
Hf1 Hf 0.250 0.250 0.250
Hf2 Hf 0.500 0.500 0.500
Sc1 Sc 0.750 0.750 0.750
```

SG = F-43m (216)
ΔE_f = 233.7 meV per atom



Density functional theory data (PBE) for a relaxed Pr2SmN3 crystal.

CIF file:
```
data_Pr2SmN3
_symmetry_space_group_name_H-M 'P 1'
_symmetry_Int_Tables_number 1
_cell_length_a 3.638
_cell_length_b 3.638
_cell_length_c 8.911
_cell_angle_alpha 90.00
_cell_angle_beta 90.00
_cell_angle_gamma 120.00
loop_
_symmetry_equiv_pos_as_xyz
'x,y,z'
loop_
_atom_site_label
_atom_site_type_symbol
_atom_site_fract_x
_atom_site_fract_y
_atom_site_fract_z
Pr1 Pr 0.333 0.667 0.331
Pr2 Pr 0.667 0.333 0.669
Sm1 Sm 0.000 0.000 0.000
N1 N 0.000 0.000 0.500
N2 N 0.333 0.667 0.839
N3 N 0.667 0.333 0.161
```

SG = P-3m1 (164)
Total DFT energy (no corrections) = -7.889 eV per atom



Density functional theory data (PBE) for a relaxed K2HfTaH6 crystal.

CIF file:
```
data_K2HfTaH6
_symmetry_space_group_name_H-M 'P 1'
_symmetry_Int_Tables_number 1
_cell_length_a 11.496
_cell_length_b 10.082
_cell_length_c 5.115
_cell_angle_alpha 90.00
_cell_angle_beta 91.03
_cell_angle_gamma 90.00
loop_
_symmetry_equiv_pos_as_xyz
'x,y,z'
loop_
_atom_site_label
_atom_site_type_symbol
_atom_site_fract_x
_atom_site_fract_y
_atom_site_fract_z
K1 K 0.065 0.136 0.240
K2 K 0.065 0.364 0.740
K3 K 0.434 0.138 0.282
K4 K 0.434 0.362 0.782
K5 K 0.566 0.638 0.218
K6 K 0.566 0.862 0.718
K7 K 0.935 0.636 0.260
K8 K 0.935 0.864 0.760
Hf1 Hf 0.251 0.664 0.768
Hf2 Hf 0.251 0.836 0.268
Hf3 Hf 0.749 0.164 0.732
Hf4 Hf 0.749 0.336 0.232
Ta1 Ta 0.250 0.543 0.268
Ta2 Ta 0.250 0.957 0.768
Ta3 Ta 0.750 0.043 0.232
Ta4 Ta 0.750 0.457 0.732
H1 H 0.131 0.088 0.729
H2 H 0.131 0.412 0.229
H3 H 0.136 0.574 0.540
H4 H 0.136 0.926 0.040
H5 H 0.148 0.670 0.094
H6 H 0.148 0.830 0.594
H7 H 0.356 0.668 0.444
H8 H 0.356 0.832 0.944
H9 H 0.363 0.095 0.804
H10 H 0.363 0.405 0.304
H11 H 0.365 0.569 0.996
H12 H 0.365 0.931 0.496
H13 H 0.635 0.069 0.504
H14 H 0.635 0.431 0.004
H15 H 0.637 0.595 0.696
H16 H 0.637 0.905 0.196
H17 H 0.644 0.168 0.056
H18 H 0.644 0.332 0.556
H19 H 0.852 0.170 0.406
H20 H 0.852 0.330 0.906
H21 H 0.864 0.074 0.960
H22 H 0.864 0.426 0.460
H23 H 0.869 0.588 0.771
H24 H 0.869 0.912 0.271
```

SG = P2_1/c (14)
Total DFT energy (no corrections) = -4.551 eV per atom



Density functional theory data (PBE) for a relaxed Co28W crystal.

CIF file:
```
data_Co28W
_symmetry_space_group_name_H-M 'P 1'
_symmetry_Int_Tables_number 1
_cell_length_a 7.439
_cell_length_b 7.439
_cell_length_c 7.439
_cell_angle_alpha 109.47
_cell_angle_beta 109.47
_cell_angle_gamma 109.47
loop_
_symmetry_equiv_pos_as_xyz
'x,y,z'
loop_
_atom_site_label
_atom_site_type_symbol
_atom_site_fract_x
_atom_site_fract_y
_atom_site_fract_z
Co1 Co 0.000 0.000 0.639
Co2 Co 0.000 0.192 0.376
Co3 Co 0.000 0.376 0.192
Co4 Co 0.000 0.402 0.684
Co5 Co 0.000 0.639 0.000
Co6 Co 0.000 0.684 0.402
Co7 Co 0.184 0.808 0.808
Co8 Co 0.192 0.000 0.376
Co9 Co 0.192 0.376 0.000
Co10 Co 0.282 0.598 0.598
Co11 Co 0.316 0.316 0.718
Co12 Co 0.316 0.718 0.316
Co13 Co 0.361 0.361 0.361
Co14 Co 0.376 0.000 0.192
Co15 Co 0.376 0.192 0.000
Co16 Co 0.402 0.000 0.684
Co17 Co 0.402 0.684 0.000
Co18 Co 0.598 0.282 0.598
Co19 Co 0.598 0.598 0.282
Co20 Co 0.624 0.624 0.816
Co21 Co 0.624 0.816 0.624
Co22 Co 0.639 0.000 0.000
Co23 Co 0.684 0.000 0.402
Co24 Co 0.684 0.402 0.000
Co25 Co 0.718 0.316 0.316
Co26 Co 0.808 0.184 0.808
Co27 Co 0.808 0.808 0.184
Co28 Co 0.816 0.624 0.624
W1 W 0.000 0.000 0.000
```

SG = I-43m (217)
ΔE_f = 51.6 meV per atom



Density functional theory data (PBE) for a relaxed NdHoHf crystal.

CIF file:
```
data_NdHoHf
_symmetry_space_group_name_H-M 'P 1'
_symmetry_Int_Tables_number 1
_cell_length_a 5.225
_cell_length_b 5.225
_cell_length_c 5.225
_cell_angle_alpha 60.00
_cell_angle_beta 60.00
_cell_angle_gamma 60.00
loop_
_symmetry_equiv_pos_as_xyz
'x,y,z'
loop_
_atom_site_label
_atom_site_type_symbol
_atom_site_fract_x
_atom_site_fract_y
_atom_site_fract_z
Nd1 Nd 0.000 0.000 0.000
Ho1 Ho 0.500 0.500 0.500
Hf1 Hf 0.750 0.750 0.750
```

SG = F-43m (216)
Energy above the most stable polymorph in this dataset = 0.00 kJ per mole of atoms
ΔE_f = 851.7 meV per atom



Density functional theory data (PBE) for a relaxed GdTe2 crystal.

CIF file:
```
data_GdTe2
_symmetry_space_group_name_H-M 'P 1'
_symmetry_Int_Tables_number 1
_cell_length_a 9.520
_cell_length_b 9.520
_cell_length_c 9.520
_cell_angle_alpha 60.00
_cell_angle_beta 60.00
_cell_angle_gamma 60.00
loop_
_symmetry_equiv_pos_as_xyz
'x,y,z'
loop_
_atom_site_label
_atom_site_type_symbol
_atom_site_fract_x
_atom_site_fract_y
_atom_site_fract_z
Gd1 Gd 0.125 0.125 0.125
Gd2 Gd 0.875 0.875 0.875
Te1 Te 0.000 0.000 0.000
Te2 Te 0.000 0.000 0.500
Te3 Te 0.000 0.500 0.000
Te4 Te 0.500 0.000 0.000
```

SG = Fd-3m (227)
Total DFT energy (no corrections) = -4.136 eV per atom



Density functional theory data (PBE) for a relaxed YGaFeNi crystal.

CIF file:
```
data_YGaFeNi
_symmetry_space_group_name_H-M 'P 1'
_symmetry_Int_Tables_number 1
_cell_length_a 4.477
_cell_length_b 4.477
_cell_length_c 4.477
_cell_angle_alpha 60.00
_cell_angle_beta 60.00
_cell_angle_gamma 60.00
loop_
_symmetry_equiv_pos_as_xyz
'x,y,z'
loop_
_atom_site_label
_atom_site_type_symbol
_atom_site_fract_x
_atom_site_fract_y
_atom_site_fract_z
Y1 Y 0.000 0.000 0.000
Ga1 Ga 0.500 0.500 0.500
Fe1 Fe 0.750 0.750 0.750
Ni1 Ni 0.250 0.250 0.250
```

SG = F-43m (216)
Energy above the most stable polymorph in this dataset = 0.00 kJ per mole of atoms



Density functional theory data (PBE) for a relaxed TaSiNiAu crystal.

CIF file:
```
data_TaSiNiAu
_symmetry_space_group_name_H-M 'P 1'
_symmetry_Int_Tables_number 1
_cell_length_a 4.391
_cell_length_b 4.391
_cell_length_c 4.391
_cell_angle_alpha 60.00
_cell_angle_beta 60.00
_cell_angle_gamma 60.00
loop_
_symmetry_equiv_pos_as_xyz
'x,y,z'
loop_
_atom_site_label
_atom_site_type_symbol
_atom_site_fract_x
_atom_site_fract_y
_atom_site_fract_z
Ta1 Ta 0.000 0.000 0.000
Si1 Si 0.250 0.250 0.250
Ni1 Ni 0.500 0.500 0.500
Au1 Au 0.750 0.750 0.750
```

SG = F-43m (216)
Total DFT energy (no corrections) = -6.526 eV per atom



Density functional theory data (PBE) for a relaxed HfMgTcBi crystal.

CIF file:
```
data_HfMgTcBi
_symmetry_space_group_name_H-M 'P 1'
_symmetry_Int_Tables_number 1
_cell_length_a 4.834
_cell_length_b 4.834
_cell_length_c 4.834
_cell_angle_alpha 60.00
_cell_angle_beta 60.00
_cell_angle_gamma 60.00
loop_
_symmetry_equiv_pos_as_xyz
'x,y,z'
loop_
_atom_site_label
_atom_site_type_symbol
_atom_site_fract_x
_atom_site_fract_y
_atom_site_fract_z
Hf1 Hf 0.000 0.000 0.000
Mg1 Mg 0.500 0.500 0.500
Tc1 Tc 0.750 0.750 0.750
Bi1 Bi 0.250 0.250 0.250
```

SG = F-43m (216)
Energy above the most stable polymorph in this dataset = 10.16 kJ per mole of atoms



Density functional theory data (PBE) for a relaxed GaFe2Sb crystal.

CIF file:
```
data_GaFe2Sb
_symmetry_space_group_name_H-M 'P 1'
_symmetry_Int_Tables_number 1
_cell_length_a 6.035
_cell_length_b 6.035
_cell_length_c 6.035
_cell_angle_alpha 90.00
_cell_angle_beta 90.00
_cell_angle_gamma 90.00
loop_
_symmetry_equiv_pos_as_xyz
'x,y,z'
loop_
_atom_site_label
_atom_site_type_symbol
_atom_site_fract_x
_atom_site_fract_y
_atom_site_fract_z
Ga1 Ga 0.000 0.000 0.000
Ga2 Ga 0.000 0.000 0.500
Ga3 Ga 0.000 0.500 0.000
Ga4 Ga 0.500 0.000 0.000
Fe1 Fe 0.245 0.245 0.245
Fe2 Fe 0.245 0.245 0.755
Fe3 Fe 0.245 0.755 0.245
Fe4 Fe 0.245 0.755 0.755
Fe5 Fe 0.755 0.245 0.245
Fe6 Fe 0.755 0.245 0.755
Fe7 Fe 0.755 0.755 0.245
Fe8 Fe 0.755 0.755 0.755
Sb1 Sb 0.000 0.500 0.500
Sb2 Sb 0.500 0.000 0.500
Sb3 Sb 0.500 0.500 0.000
Sb4 Sb 0.500 0.500 0.500
```

SG = Pm-3m (221)
Energy above the most stable polymorph in this dataset = 4.45 kJ per mole of atoms